[1]
{
  "formula": "Hf2GaCu",
  "functional": "GGA-PBE",
  "state": "relaxed",
  "cell": [[4.077, 0.000, 0.000], [0.000, 3.326, 0.000], [0.000, 0.000, 10.613]],
  "species": ["Hf", "Hf", "Hf", "Hf", "Ga", "Ga", "Cu", "Cu"],
  "fractional_positions": [[0.000, 0.000, 0.000], [0.000, 0.500, 0.500], [0.500, 0.000, 0.322], [0.500, 0.500, 0.822], [0.000, 0.000, 0.729], [0.000, 0.500, 0.229], [0.500, 0.000, 0.589], [0.500, 0.500, 0.089]],
  "vol_a3_per_cell": 143.90,
  "e_form_mev_per_atom": -314,
  "e_tot_ev_per_cell": -56.6,
  "space_group": "Amm2 (38)"
}

---

[2]
{
  "formula": "La2BeAg",
  "functional": "GGA-PBE",
  "state": "relaxed",
  "cell": [[3.924, 0.000, 0.000], [0.000, 4.501, 0.000], [-1.897, 0.000, 5.934]],
  "species": ["La", "La", "Be", "Ag"],
  "fractional_positions": [[0.000, 0.000, 0.000], [0.295, 0.500, 0.600], [0.708, 0.000, 0.425], [0.591, 0.500, 0.187]],
  "vol_a3_per_cell": 104.80,
  "e_form_mev_per_atom": 16,
  "e_tot_ev_per_cell": -16.4,
  "space_group": "Pm (6)"
}

---

[3]
{
  "formula": "Na2CdPdC",
  "functional": "GGA-PBE",
  "state": "relaxed",
  "cell": [[5.152, 0.000, 0.000], [0.000, 5.152, 0.000], [0.000, 0.000, 3.873]],
  "species": ["Na", "Na", "Cd", "Pd", "C"],
  "fractional_positions": [[0.000, 0.500, 0.000], [0.500, 0.000, 0.000], [0.000, 0.000, 0.500], [0.500, 0.500, 0.500], [0.500, 0.500, 0.000]],
  "vol_a3_per_cell": 102.80,
  "e_form_mev_per_atom": 349,
  "e_tot_ev_per_cell": -16.2,
  "space_group": "P4/mmm (123)"
}

---

[4]
{
  "formula": "TbMn9P4",
  "functional": "GGA-PBE",
  "state": "relaxed",
  "cell": [[-3.800, 3.800, 5.833], [3.800, -3.800, 5.833], [3.800, 3.800, -5.833]],
  "species": ["Tb", "Tb", "Mn", "Mn", "Mn", "Mn", "Mn", "Mn", "Mn", "Mn", "Mn", "Mn", "Mn", "Mn", "Mn", "Mn", "Mn", "Mn", "Mn", "Mn", "P", "P", "P", "P", "P", "P", "P", "P"],
  "fractional_positions": [[0.250, 0.250, 0.000], [0.750, 0.750, 0.000], [0.000, 0.500, 0.500], [0.045, 0.545, 0.236], [0.066, 0.811, 0.877], [0.189, 0.066, 0.255], [0.191, 0.955, 0.500], [0.309, 0.809, 0.764], [0.311, 0.566, 0.877], [0.434, 0.311, 0.745], [0.455, 0.691, 0.500], [0.500, 0.000, 0.500], [0.545, 0.309, 0.500], [0.566, 0.689, 0.255], [0.689, 0.434, 0.123], [0.691, 0.191, 0.236], [0.809, 0.045, 0.500], [0.811, 0.934, 0.745], [0.934, 0.189, 0.123], [0.955, 0.455, 0.764], [0.034, 0.205, 0.500], [0.205, 0.705, 0.171], [0.295, 0.466, 0.500], [0.466, 0.966, 0.171], [0.534, 0.034, 0.829], [0.705, 0.534, 0.500], [0.795, 0.295, 0.829], [0.966, 0.795, 0.500]],
  "vol_a3_per_cell": 336.97,
  "e_form_mev_per_atom": -461,
  "e_tot_ev_per_cell": -230.5,
  "space_group": "I4/mcm (140)"
}

---

[5]
{
  "formula": "RbWI2",
  "functional": "GGA-PBE",
  "state": "relaxed",
  "cell": [[8.775, 0.000, 0.000], [0.000, 8.775, 0.000], [0.000, 0.000, 7.815]],
  "species": ["Rb", "Rb", "Rb", "Rb", "W", "W", "W", "W", "I", "I", "I", "I", "I", "I", "I", "I"],
  "fractional_positions": [[0.000, 0.000, 0.000], [0.000, 0.500, 0.250], [0.500, 0.000, 0.750], [0.500, 0.500, 0.500], [0.000, 0.000, 0.500], [0.000, 0.500, 0.750], [0.500, 0.000, 0.250], [0.500, 0.500, 0.000], [0.132, 0.750, 0.625], [0.250, 0.132, 0.375], [0.250, 0.368, 0.875], [0.368, 0.750, 0.125], [0.632, 0.250, 0.125], [0.750, 0.632, 0.875], [0.750, 0.868, 0.375], [0.868, 0.250, 0.625]],
  "polymorph_energy_mev_per_atom": 0,
  "vol_a3_per_cell": 601.76,
  "e_tot_ev_per_cell": -60.5,
  "space_group": "I-42d (122)"
}

---

[6]
{
  "formula": "Na2BePt2",
  "functional": "GGA-PBE",
  "state": "relaxed",
  "cell": [[5.966, 0.000, 0.000], [0.000, 5.966, 0.000], [0.000, 0.000, 4.885]],
  "species": ["Na", "Na", "Na", "Na", "Be", "Be", "Pt", "Pt", "Pt", "Pt"],
  "fractional_positions": [[0.169, 0.331, 0.000], [0.331, 0.831, 0.000], [0.669, 0.169, 0.000], [0.831, 0.669, 0.000], [0.000, 0.000, 0.500], [0.500, 0.500, 0.500], [0.154, 0.654, 0.500], [0.346, 0.154, 0.500], [0.654, 0.846, 0.500], [0.846, 0.346, 0.500]],
  "vol_a3_per_cell": 173.86,
  "e_form_mev_per_atom": -344,
  "e_tot_ev_per_cell": -40.3,
  "space_group": "P4/mbm (127)"
}

---

[7]
{
  "formula": "CsSb2H2",
  "functional": "GGA-PBE",
  "state": "relaxed",
  "cell": [[4.794, 0.000, 0.000], [0.013, 5.312, 0.000], [0.012, 2.652, 5.896]],
  "species": ["Cs", "Sb", "Sb", "H", "H"],
  "fractional_positions": [[0.000, 0.000, 0.000], [0.481, 0.307, 0.386], [0.489, 0.693, 0.614], [0.837, 0.344, 0.312], [0.849, 0.662, 0.675]],
  "polymorph_energy_mev_per_atom": 20,
  "vol_a3_per_cell": 150.15,
  "e_tot_ev_per_cell": -16.2,
  "space_group": "P1 (1)"
}

---

[8]
{
  "formula": "TbF3",
  "functional": "GGA-PBE",
  "state": "relaxed",
  "cell": [[6.460, 0.000, 0.000], [0.000, 6.959, 0.000], [0.000, 0.000, 4.448]],
  "species": ["Tb", "Tb", "Tb", "Tb", "F", "F", "F", "F", "F", "F", "F", "F", "F", "F", "F", "F"],
  "fractional_positions": [[0.132, 0.250, 0.061], [0.368, 0.750, 0.561], [0.632, 0.250, 0.439], [0.868, 0.750, 0.939], [0.022, 0.750, 0.411], [0.164, 0.563, 0.877], [0.164, 0.937, 0.877], [0.336, 0.063, 0.377], [0.336, 0.437, 0.377], [0.478, 0.250, 0.911], [0.522, 0.750, 0.089], [0.664, 0.563, 0.623], [0.664, 0.937, 0.623], [0.836, 0.063, 0.123], [0.836, 0.437, 0.123], [0.978, 0.250, 0.589]],
  "vol_a3_per_cell": 199.97,
  "e_tot_ev_per_cell": -107.4,
  "space_group": "Pnma (62)"
}

---

What did the third record say?
{
  "formula": "Na2CdPdC",
  "functional": "GGA-PBE",
  "state": "relaxed",
  "cell": [[5.152, 0.000, 0.000], [0.000, 5.152, 0.000], [0.000, 0.000, 3.873]],
  "species": ["Na", "Na", "Cd", "Pd", "C"],
  "fractional_positions": [[0.000, 0.500, 0.000], [0.500, 0.000, 0.000], [0.000, 0.000, 0.500], [0.500, 0.500, 0.500], [0.500, 0.500, 0.000]],
  "vol_a3_per_cell": 102.80,
  "e_form_mev_per_atom": 349,
  "e_tot_ev_per_cell": -16.2,
  "space_group": "P4/mmm (123)"
}